# 1
Compound: Tc3IrPt
Source: Alexandria via LeMat-Bulk
Functional: GGA-PBE
Structure: optimized geometry

Unit cell a=4.637 b=4.637 c=4.637 alpha=90.00 beta=90.00 gamma=90.00
Fractional positions:
Ir 0.000 0.000 0.000
Tc 0.000 0.000 0.500
Tc 0.000 0.500 0.000
Pt 0.500 0.500 0.500
Tc 0.500 0.000 0.000

Excess energy over the best structure of this formula in the dataset in meV per atom: 0
Formation energy in eV per atom: 1.799

---

# 2
Compound: TcIrPt4
Source: Alexandria via LeMat-Bulk
Functional: GGA-PBE
Structure: optimized geometry

Unit cell a=5.183 b=5.183 c=5.183 alpha=60.00 beta=60.00 gamma=60.00
Fractional positions:
Pt 0.375 0.375 0.875
Pt 0.375 0.875 0.375
Pt 0.375 0.375 0.375
Tc 0.750 0.750 0.750
Pt 0.875 0.375 0.375
Ir 0.000 0.000 0.000

Formation energy in eV per atom: 0.485

---

# 3
Compound: Tc2IrPt
Source: Alexandria via LeMat-Bulk
Functional: GGA-PBE
Structure: optimized geometry

Unit cell a=4.734 b=4.734 c=4.734 alpha=131.17 beta=131.18 gamma=71.53
Fractional positions:
Ir 0.500 0.500 0.000
Tc 0.000 0.000 0.000
Pt 0.250 0.750 0.500
Tc 0.750 0.250 0.500

Excess energy over the best structure of this formula in the dataset in meV per atom: 92
Formation energy in eV per atom: -0.117

---

# 4
Compound: TcIrPt2
Source: Alexandria via LeMat-Bulk
Functional: GGA-PBE
Structure: optimized geometry

Unit cell a=4.818 b=4.818 c=4.818 alpha=132.34 beta=132.34 gamma=69.69
Fractional positions:
Ir 0.750 0.250 0.500
Pt 0.000 0.000 0.000
Tc 0.500 0.500 0.000
Pt 0.250 0.750 0.500

Excess energy over the best structure of this formula in the dataset in meV per atom: 78
Formation energy in eV per atom: -0.097

---

| no. | total magnetic moment (μB per cell) | uncorrected energy (eV/atom) |
| --- | --- | --- |
| 1 | 0.00 | -7.401 |
| 2 | 1.58 | -6.747 |
| 3 | 0.00 | -9.026 |
| 4 | 0.00 | -7.924 |